1.
Here is a relaxed PuBi2Au6 crystal from Alexandria via LeMat-Bulk. Energies are from GGA-PBE.

a = 6.796 Å, b = 6.796 Å, c = 6.796 Å
α = 60.00°, β = 60.00°, γ = 60.00°
Positions (direct):
Pu: 0.000 0.000 0.000
Bi: 0.250 0.250 0.250
Bi: 0.750 0.750 0.750
Au: 0.289 0.289 0.711
Au: 0.289 0.711 0.289
Au: 0.289 0.711 0.711
Au: 0.711 0.289 0.289
Au: 0.711 0.289 0.711
Au: 0.711 0.711 0.289

Results
- formation energy from the elements (eV/atom) = 0.187
- SG = No. 225

***

2.
Here is a relaxed Rb2PaMnS5 crystal from Alexandria via LeMat-Bulk. Energies are from GGA-PBE.

a = 9.953 Å, b = 9.953 Å, c = 14.002 Å
α = 90.00°, β = 90.00°, γ = 156.04°
Positions (direct):
Rb: 0.119 0.881 0.500
Rb: 0.124 0.876 0.149
Rb: 0.876 0.124 0.649
Rb: 0.881 0.119 0.000
Pa: 0.203 0.797 0.840
Pa: 0.797 0.203 0.340
Mn: 0.428 0.572 0.235
Mn: 0.572 0.428 0.735
S: 0.062 0.938 0.810
S: 0.305 0.695 0.461
S: 0.307 0.693 0.212
S: 0.330 0.670 0.827
S: 0.492 0.508 0.111
S: 0.508 0.492 0.611
S: 0.670 0.330 0.327
S: 0.693 0.307 0.712
S: 0.695 0.305 0.961
S: 0.938 0.062 0.310

Results
- formation energy from raw total energies (meV per atom) = -1197.5
- SG = No. 36